An optimized crystal structure of Li2PRu2. Source: Alexandria via LeMat-Bulk, functional PBE-GGA.

Computed properties:
* ΔH_f (0 K): -0.248 eV per atom
* N(E_F): 0.90 states/eV/atom
* symmetry: P4/mbm
* E: -5.806 eV per atom

a = 5.889 Å, b = 5.889 Å, c = 4.365 Å
α = 90.00°, β = 90.00°, γ = 90.00°
Positions (direct):
Li: 0.162 0.338 0.000
Li: 0.338 0.838 0.000
Li: 0.662 0.162 0.000
Li: 0.838 0.662 0.000
P: 0.000 0.000 0.500
P: 0.500 0.500 0.500
Ru: 0.149 0.649 0.500
Ru: 0.351 0.149 0.500
Ru: 0.649 0.851 0.500
Ru: 0.851 0.351 0.500

***

An optimized crystal structure of Mn2PdAu3. Source: Alexandria via LeMat-Bulk, functional PBE-GGA.

Computed properties:
* ΔH_f (0 K): -0.108 eV per atom
* N(E_F): 0.40 states/eV/atom
* symmetry: P2/m
* E: -5.669 eV per atom

a = 4.177 Å, b = 3.832 Å, c = 6.563 Å
α = 90.00°, β = 108.32°, γ = 90.00°
Positions (direct):
Mn: 0.161 0.000 0.321
Mn: 0.839 0.000 0.679
Pd: 0.500 0.000 0.000
Au: 0.000 0.500 0.000
Au: 0.329 0.500 0.659
Au: 0.671 0.500 0.341

***

An optimized crystal structure of NdSmBi2. Source: Alexandria via LeMat-Bulk, functional PBE-GGA.

Computed properties:
* ΔH_f (0 K): -0.826 eV per atom
* N(E_F): 0.11 states/eV/atom
* distance to the lowest polymorph of the same formula: 112.4 meV per atom
* symmetry: R3m
* E: -5.138 eV per atom

a = 8.227 Å, b = 8.227 Å, c = 8.227 Å
α = 32.08°, β = 32.08°, γ = 32.08°
Positions (direct):
Nd: 0.000 0.000 0.000
Sm: 0.171 0.171 0.171
Bi: 0.419 0.419 0.419
Bi: 0.586 0.586 0.586

***

An optimized crystal structure of TaPS2N. Source: Alexandria via LeMat-Bulk, functional PBE-GGA.

Computed properties:
* N(E_F): 0.73 states/eV/atom
* distance to the lowest polymorph of the same formula: 178.2 meV per atom
* symmetry: P4/mmm
* raw formation energy: 0.566 eV per atom
* E: -6.203 eV per atom

a = 4.663 Å, b = 4.663 Å, c = 3.231 Å
α = 90.00°, β = 90.00°, γ = 90.00°
Positions (direct):
Ta: 0.000 0.000 0.000
P: 0.500 0.500 0.500
S: 0.000 0.500 0.500
S: 0.500 0.000 0.500
N: 0.500 0.500 0.000